Computed, not measured: crystalline NaTi3Ir at its relaxed geometry at the PBE level of DFT.

Structure (extended XYZ):
```
5
Lattice="4.8664 0.0000 0.0000 0.0000 4.8664 0.0000 0.0000 0.0000 4.8664" Properties=species:S:1:pos:R:3 pbc="T T T"
Na 0.0000 0.0000 0.0000
Ti 0.0000 2.4332 2.4332
Ti 2.4332 0.0000 2.4332
Ti 2.4332 2.4332 0.0000
Ir 2.4332 2.4332 2.4332
```

Calculated values
Polymorph energy (0 for the lowest one): 0.0000 eV/atom

---

Computed, not measured: crystalline Na2Tl2Ir at its relaxed geometry at the PBE level of DFT.

Structure (extended XYZ):
```
10
Lattice="7.1638 0.0000 0.0000 0.0000 7.1638 0.0000 0.0000 0.0000 5.2053" Properties=species:S:1:pos:R:3 pbc="T T T"
Na 1.2598 2.3221 0.0000
Na 2.3221 5.9040 0.0000
Na 4.8417 1.2598 0.0000
Na 5.9040 4.8417 0.0000
Tl 1.1453 4.7272 2.6027
Tl 2.4367 1.1453 2.6027
Tl 4.7272 6.0186 2.6027
Tl 6.0186 2.4367 2.6027
Ir 0.0000 0.0000 2.6027
Ir 3.5819 3.5819 2.6027
```

Calculated values
E_tot: -15.2 eV/f.u.

---

Computed, not measured: crystalline NaTl3Ir at its relaxed geometry at the PBE level of DFT.

Structure (extended XYZ):
```
5
Lattice="5.3327 0.0000 0.0000 0.0000 5.3327 0.0000 0.0000 0.0000 5.3327" Properties=species:S:1:pos:R:3 pbc="T T T"
Na 0.0000 0.0000 0.0000
Tl 0.0000 2.6663 2.6663
Tl 2.6663 0.0000 2.6663
Tl 2.6663 2.6663 0.0000
Ir 2.6663 2.6663 2.6663
```

Calculated values
Polymorph energy (0 for the lowest one): 0.0000 eV/atom

---

Computed, not measured: crystalline NaTlIr3 at its relaxed geometry at the PBE level of DFT.

Structure (extended XYZ):
```
5
Lattice="5.0642 0.0000 0.0000 0.0000 5.0642 0.0000 0.0000 0.0000 5.0642" Properties=species:S:1:pos:R:3 pbc="T T T"
Na 0.0000 0.0000 0.0000
Tl 2.5321 2.5321 2.5321
Ir 0.0000 2.5321 2.5321
Ir 2.5321 0.0000 2.5321
Ir 2.5321 2.5321 0.0000
```

Calculated values
Polymorph energy (0 for the lowest one): 0.0000 eV/atom

---

Computed, not measured: crystalline NaTl3Ir at its relaxed geometry at the PBE level of DFT.

Structure (extended XYZ):
```
5
Lattice="5.3133 0.0000 0.0000 0.0000 5.3133 0.0000 0.0000 0.0000 5.3133" Properties=species:S:1:pos:R:3 pbc="T T T"
Na 0.0000 0.0000 0.0000
Tl 0.0000 0.0000 2.6567
Tl 0.0000 2.6567 0.0000
Tl 2.6567 0.0000 0.0000
Ir 2.6567 2.6567 2.6567
```

Calculated values
Polymorph energy (0 for the lowest one): 1.1296 eV/atom

---

Computed, not measured: crystalline NaTl2Ir at its relaxed geometry at the PBE level of DFT.

Structure (extended XYZ):
```
16
Lattice="5.2108 0.0000 0.0000 0.0000 5.2108 0.0000 0.0000 0.0000 17.5835" Properties=species:S:1:pos:R:3 pbc="T T T"
Na 0.0000 0.0000 0.0000
Na 0.0000 2.6054 4.3959
Na 2.6054 0.0000 13.1876
Na 2.6054 2.6054 8.7918
Tl 0.8527 1.3027 10.9897
Tl 1.3027 3.4581 15.3856
Tl 1.3027 4.3581 6.5938
Tl 1.7527 1.3027 2.1979
Tl 3.4581 3.9081 2.1979
Tl 3.9081 0.8527 6.5938
Tl 3.9081 1.7527 15.3856
Tl 4.3581 3.9081 10.9897
Ir 0.0000 0.0000 8.7918
Ir 0.0000 2.6054 13.1876
Ir 2.6054 0.0000 4.3959
Ir 2.6054 2.6054 0.0000
```

Calculated values
E_tot: -13.0 eV/f.u.

---

Computed, not measured: crystalline NaTlIr3 at its relaxed geometry at the PBE level of DFT.

Structure (extended XYZ):
```
5
Lattice="4.5696 0.0000 0.0000 0.0000 4.5696 0.0000 0.0000 0.0000 4.5696" Properties=species:S:1:pos:R:3 pbc="T T T"
Na 0.0000 0.0000 0.0000
Tl 2.2848 2.2848 2.2848
Ir 0.0000 0.0000 2.2848
Ir 0.0000 2.2848 0.0000
Ir 2.2848 0.0000 0.0000
```

Calculated values
Polymorph energy (0 for the lowest one): 0.0716 eV/atom

---

Computed, not measured: crystalline NaTlZn2Ir at its relaxed geometry at the PBE level of DFT.

Structure (extended XYZ):
```
5
Lattice="4.9178 0.0000 0.0000 0.0000 4.9178 0.0000 0.0000 0.0000 5.2086" Properties=species:S:1:pos:R:3 pbc="T T T"
Na 0.0000 0.0000 0.0000
Tl 2.4589 2.4589 0.0000
Zn 0.0000 2.4589 2.6043
Zn 2.4589 0.0000 2.6043
Ir 2.4589 2.4589 2.6043
```

Calculated values
E_tot: -15.1 eV/f.u.